Here is HfScS2N after structural relaxation from the Alexandria database. Energies are from PBE.

Raw formation energy, meV per atom: -1649

Cell lengths 3.659, 3.659, 13.238 Å; angles 90.00, 90.00, 90.00 degrees
Fractional positions:
Hf 0.250 0.250 0.079
Hf 0.750 0.750 0.921
Sc 0.250 0.250 0.619
Sc 0.750 0.750 0.381
S 0.250 0.250 0.410
S 0.250 0.250 0.800
S 0.750 0.750 0.200
S 0.750 0.750 0.590
N 0.250 0.750 0.000
N 0.750 0.250 0.000